# GGA+U MnFeSiO4, optimized geometry
data_MnFeSiO4
_chemical_formula_sum 'Mn4 Fe4 Si4 O16'
_cell_length_a 10.608
_cell_length_b 6.274
_cell_length_c 4.929
_cell_angle_alpha 90.00
_cell_angle_beta 90.00
_cell_angle_gamma 90.00
_symmetry_space_group_name_H-M 'P n m a'
_symmetry_Int_Tables_number 62
loop_
_symmetry_equiv_pos_as_xyz
'x,y,z'
'-x,-y,-z'
'-x+1/2,-y,z+1/2'
'x+1/2,y,-z+1/2'
'x+1/2,-y+1/2,-z+1/2'
'-x+1/2,y+1/2,z+1/2'
'-x,y+1/2,-z'
'x,-y+1/2,z'
loop_
_atom_site_label
_atom_site_type_symbol
_atom_site_fract_x
_atom_site_fract_y
_atom_site_fract_z
Mn1 Mn 0.000 0.000 0.000
Fe1 Fe 0.220 0.250 0.485
Si1 Si 0.099 0.750 0.431
O1 O 0.045 0.250 0.707
O2 O 0.095 0.750 0.763
O3 O 0.168 0.539 0.291
# Final energy: -0.2789 Ha/atom